Entry 1:
The following is a DFT calculation (PBE) of a geometry-optimized PrDy2HoSe4 structure.

formation energy (no corrections)	-1.758	eV/atom
raw total energy	-5.82	eV per atom

Lattice parameters (Å, degrees): 7.118 4.058 7.231 90.00 108.71 90.00
Atoms (fractional coordinates):
Pr: 0.000 0.000 0.000
Dy: 0.500 0.000 0.500
Dy: 0.500 0.500 0.000
Ho: 0.000 0.500 0.500
Se: 0.254 0.000 0.743
Se: 0.261 0.500 0.262
Se: 0.739 0.500 0.738
Se: 0.746 0.000 0.257

Entry 2:
The following is a DFT calculation (PBE) of a geometry-optimized Pr2Dy3HoSe6 structure.

formation energy (no corrections)	-1.775	eV/atom
raw total energy	-5.85	eV per atom

Lattice parameters (Å, degrees): 9.259 9.259 8.346 103.45 103.45 25.62
Atoms (fractional coordinates):
Pr: 0.169 0.169 0.337
Pr: 0.831 0.831 0.663
Dy: 0.171 0.171 0.834
Dy: 0.500 0.500 0.500
Dy: 0.829 0.829 0.166
Ho: 0.500 0.500 0.000
Se: 0.005 0.005 0.754
Se: 0.336 0.336 0.929
Se: 0.338 0.338 0.407
Se: 0.662 0.662 0.593
Se: 0.664 0.664 0.071
Se: 0.995 0.995 0.246

Entry 3:
The following is a DFT calculation (PBE) of a geometry-optimized Pr2DyHo3Se6 structure.

formation energy (no corrections)	-1.768	eV/atom
raw total energy	-5.83	eV per atom

Lattice parameters (Å, degrees): 9.264 9.264 8.348 104.00 104.00 25.52
Atoms (fractional coordinates):
Pr: 0.168 0.168 0.336
Pr: 0.832 0.832 0.664
Dy: 0.500 0.500 0.000
Ho: 0.170 0.170 0.834
Ho: 0.500 0.500 0.500
Ho: 0.830 0.830 0.166
Se: 0.005 0.005 0.751
Se: 0.335 0.335 0.930
Se: 0.339 0.339 0.406
Se: 0.661 0.661 0.594
Se: 0.665 0.665 0.070
Se: 0.995 0.995 0.249

Entry 4:
The following is a DFT calculation (PBE) of a geometry-optimized Pr3DyHo3Se8 structure.

formation energy (no corrections)	-1.849	eV/atom
raw total energy	-5.89	eV per atom

Lattice parameters (Å, degrees): 8.342 8.342 8.342 59.17 59.17 59.17
Atoms (fractional coordinates):
Pr: 0.000 0.500 0.500
Pr: 0.500 0.000 0.500
Pr: 0.500 0.500 0.000
Dy: 0.500 0.500 0.500
Ho: 0.000 0.000 0.500
Ho: 0.000 0.500 0.000
Ho: 0.500 0.000 0.000
Se: 0.239 0.749 0.749
Se: 0.244 0.244 0.244
Se: 0.251 0.251 0.761
Se: 0.251 0.761 0.251
Se: 0.749 0.239 0.749
Se: 0.749 0.749 0.239
Se: 0.756 0.756 0.756
Se: 0.761 0.251 0.251

Entry 5:
The following is a DFT calculation (PBE) of a geometry-optimized PrDy3Ho4Se8 structure.

formation energy (no corrections)	-1.738	eV/atom
raw total energy	-5.79	eV per atom

Lattice parameters (Å, degrees): 8.191 8.191 8.191 59.86 59.86 59.86
Atoms (fractional coordinates):
Pr: 0.000 0.000 0.000
Dy: 0.000 0.500 0.500
Dy: 0.500 0.000 0.500
Dy: 0.500 0.500 0.000
Ho: 0.000 0.000 0.500
Ho: 0.000 0.500 0.000
Ho: 0.500 0.000 0.000
Ho: 0.500 0.500 0.500
Se: 0.249 0.249 0.249
Se: 0.255 0.744 0.744
Se: 0.256 0.256 0.745
Se: 0.256 0.745 0.256
Se: 0.744 0.255 0.744
Se: 0.744 0.744 0.255
Se: 0.745 0.256 0.256
Se: 0.751 0.751 0.751

Entry 6:
The following is a DFT calculation (PBE) of a geometry-optimized PrDyHo2Se4 structure.

formation energy (no corrections)	-1.754	eV/atom
raw total energy	-5.81	eV per atom

Lattice parameters (Å, degrees): 7.133 4.045 7.206 90.00 108.60 90.00
Atoms (fractional coordinates):
Pr: 0.000 0.000 0.000
Dy: 0.500 0.500 0.000
Ho: 0.000 0.500 0.500
Ho: 0.500 0.000 0.500
Se: 0.255 0.000 0.742
Se: 0.262 0.500 0.263
Se: 0.738 0.500 0.737
Se: 0.745 0.000 0.258

Entry 7:
The following is a DFT calculation (PBE) of a geometry-optimized Pr3Dy3HoSe8 structure.

formation energy (no corrections)	-1.854	eV/atom
raw total energy	-5.89	eV per atom

Lattice parameters (Å, degrees): 8.355 8.355 8.355 59.22 59.22 59.22
Atoms (fractional coordinates):
Pr: 0.000 0.500 0.500
Pr: 0.500 0.000 0.500
Pr: 0.500 0.500 0.000
Dy: 0.000 0.000 0.500
Dy: 0.000 0.500 0.000
Dy: 0.500 0.000 0.000
Ho: 0.500 0.500 0.500
Se: 0.241 0.748 0.748
Se: 0.245 0.245 0.245
Se: 0.252 0.252 0.759
Se: 0.252 0.759 0.252
Se: 0.748 0.241 0.748
Se: 0.748 0.748 0.241
Se: 0.755 0.755 0.755
Se: 0.759 0.252 0.252

Entry 8:
The following is a DFT calculation (PBE) of a geometry-optimized Pr2DyHoSe6 structure.

formation energy (no corrections)	-1.843	eV/atom
raw total energy	-5.81	eV per atom

Lattice parameters (Å, degrees): 7.784 7.784 7.784 56.59 56.59 56.59
Atoms (fractional coordinates):
Pr: 0.000 0.000 0.000
Pr: 0.500 0.500 0.500
Dy: 0.202 0.202 0.202
Ho: 0.702 0.702 0.702
Se: 0.082 0.819 0.419
Se: 0.319 0.583 0.918
Se: 0.419 0.082 0.819
Se: 0.583 0.918 0.319
Se: 0.819 0.419 0.082
Se: 0.918 0.319 0.583

Entry 9:
The following is a DFT calculation (PBE) of a geometry-optimized Pr3DyHo2Se6 structure.

formation energy (no corrections)	-1.797	eV/atom
raw total energy	-5.88	eV per atom

Lattice parameters (Å, degrees): 7.133 7.133 7.368 99.28 99.28 120.25
Atoms (fractional coordinates):
Pr: 0.000 0.000 0.000
Pr: 0.334 0.666 0.000
Pr: 0.666 0.334 0.000
Dy: 0.500 0.500 0.500
Ho: 0.167 0.833 0.500
Ho: 0.833 0.167 0.500
Se: 0.088 0.423 0.269
Se: 0.242 0.242 0.731
Se: 0.423 0.088 0.269
Se: 0.577 0.912 0.731
Se: 0.758 0.758 0.269
Se: 0.912 0.577 0.731

Entry 10:
The following is a DFT calculation (PBE) of a geometry-optimized Pr2Sm3Dy6Ho structure.

raw total energy	-4.64	eV per atom
energy of formation from the pure elements	14	meV per atom

Lattice parameters (Å, degrees): 6.223 6.223 11.863 95.00 95.00 119.98
Atoms (fractional coordinates):
Pr: 0.166 0.834 0.000
Pr: 0.834 0.166 0.000
Sm: 0.000 0.000 0.500
Sm: 0.333 0.667 0.500
Sm: 0.667 0.333 0.500
Dy: 0.084 0.416 0.749
Dy: 0.252 0.252 0.251
Dy: 0.416 0.084 0.749
Dy: 0.584 0.916 0.251
Dy: 0.748 0.748 0.749
Dy: 0.916 0.584 0.251
Ho: 0.500 0.500 0.000

Entry 11:
The following is a DFT calculation (PBE) of a geometry-optimized Pr5SmDy2Ho structure.

raw total energy	-4.57	eV per atom
energy of formation from the pure elements	141	meV per atom

Lattice parameters (Å, degrees): 10.695 10.695 10.785 90.00 90.00 149.16
Atoms (fractional coordinates):
Pr: 0.015 0.985 0.500
Pr: 0.280 0.720 0.792
Pr: 0.296 0.704 0.185
Pr: 0.387 0.613 0.505
Pr: 0.482 0.518 0.226
Pr: 0.518 0.482 0.726
Pr: 0.613 0.387 0.005
Pr: 0.704 0.296 0.685
Pr: 0.720 0.280 0.292
Pr: 0.985 0.015 0.000
Sm: 0.200 0.800 0.491
Sm: 0.800 0.200 0.991
Dy: 0.111 0.889 0.220
Dy: 0.116 0.884 0.793
Dy: 0.884 0.116 0.293
Dy: 0.889 0.111 0.720
Ho: 0.408 0.592 0.944
Ho: 0.592 0.408 0.444

Entry 12:
The following is a DFT calculation (PBE) of a geometry-optimized Pr6Sm3DyHo2 structure.

raw total energy	-4.70	eV per atom
energy of formation from the pure elements	12	meV per atom

Lattice parameters (Å, degrees): 6.338 6.338 11.985 95.05 95.05 120.02
Atoms (fractional coordinates):
Pr: 0.084 0.417 0.753
Pr: 0.249 0.249 0.247
Pr: 0.417 0.084 0.753
Pr: 0.583 0.916 0.247
Pr: 0.751 0.751 0.753
Pr: 0.916 0.583 0.247
Sm: 0.000 0.000 0.500
Sm: 0.333 0.667 0.500
Sm: 0.667 0.333 0.500
Dy: 0.500 0.500 0.000
Ho: 0.167 0.833 0.000
Ho: 0.833 0.167 0.000

Entry 13:
The following is a DFT calculation (PBE) of a geometry-optimized PrSmDy3Ho structure.

raw total energy	-4.44	eV per atom
energy of formation from the pure elements	209	meV per atom

Lattice parameters (Å, degrees): 5.649 7.027 10.337 89.92 74.19 89.99
Atoms (fractional coordinates):
Pr: 0.145 0.032 0.210
Pr: 0.855 0.968 0.790
Sm: 0.148 0.459 0.205
Sm: 0.852 0.541 0.795
Dy: 0.022 0.743 0.454
Dy: 0.279 0.754 0.942
Dy: 0.338 0.261 0.823
Dy: 0.662 0.739 0.177
Dy: 0.721 0.246 0.058
Dy: 0.978 0.257 0.546
Ho: 0.444 0.737 0.611
Ho: 0.556 0.263 0.389

Entry 14:
The following is a DFT calculation (PBE) of a geometry-optimized Pr4Sm2DyHo structure.

raw total energy	-4.70	eV per atom
energy of formation from the pure elements	14	meV per atom

Lattice parameters (Å, degrees): 5.167 5.198 10.211 90.00 90.09 90.00
Atoms (fractional coordinates):
Pr: 0.000 0.000 0.249
Pr: 0.000 0.000 0.751
Pr: 0.500 0.500 0.250
Pr: 0.500 0.500 0.750
Sm: 0.000 0.500 0.000
Sm: 0.500 0.000 0.500
Dy: 0.000 0.500 0.500
Ho: 0.500 0.000 0.000

Entry 15:
The following is a DFT calculation (PBE) of a geometry-optimized PrSmDyHo structure.

raw total energy	-4.65	eV per atom
energy of formation from the pure elements	20	meV per atom
polymorph energy (0 for the lowest one)	0.0000	eV/atom

Lattice parameters (Å, degrees): 6.231 6.231 6.231 131.65 131.65 70.78
Atoms (fractional coordinates):
Pr: 0.000 0.000 0.000
Sm: 0.250 0.750 0.500
Dy: 0.750 0.250 0.500
Ho: 0.500 0.500 0.000

Entry 16:
The following is a DFT calculation (PBE) of a geometry-optimized Pr2Sm6DyHo3 structure.

raw total energy	-4.67	eV per atom
energy of formation from the pure elements	17	meV per atom

Lattice parameters (Å, degrees): 6.254 6.254 11.956 95.00 95.00 119.99
Atoms (fractional coordinates):
Pr: 0.167 0.833 0.000
Pr: 0.833 0.167 0.000
Sm: 0.083 0.415 0.746
Sm: 0.252 0.252 0.254
Sm: 0.415 0.083 0.746
Sm: 0.585 0.917 0.254
Sm: 0.748 0.748 0.746
Sm: 0.917 0.585 0.254
Dy: 0.500 0.500 0.000
Ho: 0.000 0.000 0.500
Ho: 0.334 0.666 0.500
Ho: 0.666 0.334 0.500

Entry 17:
The following is a DFT calculation (PBE) of a geometry-optimized Pr2SmDy6Ho structure.

raw total energy	-4.53	eV per atom
energy of formation from the pure elements	117	meV per atom

Lattice parameters (Å, degrees): 8.794 8.794 9.766 94.69 94.69 118.00
Atoms (fractional coordinates):
Pr: 0.194 0.295 0.042
Pr: 0.295 0.194 0.542
Pr: 0.705 0.806 0.458
Pr: 0.806 0.705 0.958
Sm: 0.017 0.983 0.250
Sm: 0.983 0.017 0.750
Dy: 0.021 0.574 0.187
Dy: 0.123 0.741 0.557
Dy: 0.259 0.877 0.943
Dy: 0.295 0.507 0.381
Dy: 0.426 0.979 0.313
Dy: 0.493 0.705 0.119
Dy: 0.507 0.295 0.881
Dy: 0.574 0.021 0.687
Dy: 0.705 0.493 0.619
Dy: 0.741 0.123 0.057
Dy: 0.877 0.259 0.443
Dy: 0.979 0.426 0.813
Ho: 0.407 0.593 0.750
Ho: 0.593 0.407 0.250

Entry 18:
The following is a DFT calculation (PBE) of a geometry-optimized PrSm4Dy2Ho structure.

raw total energy	-4.27	eV per atom
energy of formation from the pure elements	405	meV per atom

Lattice parameters (Å, degrees): 9.556 9.556 6.870 111.06 111.06 88.36
Atoms (fractional coordinates):
Pr: 0.000 0.500 0.000
Pr: 0.500 0.000 0.500
Sm: 0.248 0.252 0.495
Sm: 0.249 0.751 0.000
Sm: 0.249 0.751 0.500
Sm: 0.252 0.248 0.995
Sm: 0.748 0.752 0.005
Sm: 0.751 0.249 0.000
Sm: 0.751 0.249 0.500
Sm: 0.752 0.748 0.505
Dy: 0.000 0.500 0.500
Dy: 0.500 0.000 0.000
Dy: 0.500 0.500 0.000
Dy: 0.500 0.500 0.500
Ho: 0.000 0.000 0.000
Ho: 0.000 0.000 0.500

Entry 19:
The following is a DFT calculation (PBE) of a geometry-optimized PrSm2Dy4Ho structure.

raw total energy	-4.63	eV per atom
energy of formation from the pure elements	16	meV per atom

Lattice parameters (Å, degrees): 7.167 7.167 12.383 106.83 106.83 60.03
Atoms (fractional coordinates):
Pr: 0.000 0.000 0.000
Pr: 0.000 0.000 0.500
Sm: 0.000 0.500 0.000
Sm: 0.500 0.000 0.000
Sm: 0.500 0.500 0.000
Sm: 0.500 0.500 0.500
Dy: 0.250 0.250 0.251
Dy: 0.250 0.250 0.749
Dy: 0.250 0.749 0.749
Dy: 0.251 0.750 0.251
Dy: 0.749 0.250 0.749
Dy: 0.750 0.251 0.251
Dy: 0.750 0.750 0.251
Dy: 0.750 0.750 0.749
Ho: 0.000 0.500 0.500
Ho: 0.500 0.000 0.500

Entry 20:
The following is a DFT calculation (PBE) of a geometry-optimized Pr3Sm6Dy2Ho structure.

raw total energy	-4.69	eV per atom
energy of formation from the pure elements	18	meV per atom

Lattice parameters (Å, degrees): 6.287 6.287 12.024 95.00 95.00 120.00
Atoms (fractional coordinates):
Pr: 0.000 0.000 0.000
Pr: 0.333 0.667 0.000
Pr: 0.667 0.333 0.000
Sm: 0.085 0.418 0.255
Sm: 0.249 0.249 0.745
Sm: 0.418 0.085 0.255
Sm: 0.582 0.915 0.745
Sm: 0.751 0.751 0.255
Sm: 0.915 0.582 0.745
Dy: 0.167 0.833 0.500
Dy: 0.833 0.167 0.500
Ho: 0.500 0.500 0.500